[1]
Compound: ErZnPd
Source: OQMD via LeMat-Bulk
Functional: PBE
Structure: optimized geometry

Computed properties:
* energy: -3.80 eV per atom
* SG: F-43m (216)
* spin magnetization: 0.00 Bohr magnetons per cell

Lattice parameters (Å, degrees): 4.637 4.637 4.637 60.00 60.00 60.00
Atoms (fractional coordinates):
Zn (0.750, 0.750, 0.750)
Er (0.000, 0.000, 0.000)
Pd (0.250, 0.250, 0.250)


[2]
Compound: Ta4NiTe4
Source: OQMD via LeMat-Bulk
Functional: PBE
Structure: optimized geometry

Computed properties:
* energy: -7.63 eV per atom
* SG: Pbam (55)
* spin magnetization: 0.00 Bohr magnetons per cell

Lattice parameters (Å, degrees): 10.790 18.602 4.766 90.00 90.00 90.00
Atoms (fractional coordinates):
Te (0.830, 0.189, 0.000)
Te (0.330, 0.100, 0.000)
Te (0.670, 0.900, 0.000)
Te (0.355, 0.935, 0.500)
Te (0.145, 0.435, 0.500)
Te (0.391, 0.705, 0.500)
Te (0.855, 0.565, 0.500)
Te (0.330, 0.311, 0.000)
Te (0.645, 0.065, 0.500)
Te (0.670, 0.689, 0.000)
Te (0.609, 0.295, 0.500)
Te (0.170, 0.811, 0.000)
Te (0.830, 0.400, 0.000)
Te (0.109, 0.205, 0.500)
Te (0.170, 0.600, 0.000)
Te (0.891, 0.795, 0.500)
Ta (0.101, 0.889, 0.500)
Ta (0.934, 0.881, 0.000)
Ta (0.192, 0.058, 0.500)
Ta (0.707, 0.537, 0.000)
Ta (0.293, 0.463, 0.000)
Ta (0.793, 0.037, 0.000)
Ta (0.808, 0.942, 0.500)
Ta (0.207, 0.963, 0.000)
Ta (0.308, 0.558, 0.500)
Ta (0.399, 0.389, 0.500)
Ta (0.692, 0.442, 0.500)
Ta (0.601, 0.611, 0.500)
Ta (0.434, 0.619, 0.000)
Ta (0.066, 0.119, 0.000)
Ta (0.566, 0.381, 0.000)
Ta (0.899, 0.111, 0.500)
Ni (0.000, 0.000, 0.750)
Ni (0.500, 0.500, 0.250)
Ni (0.000, 0.000, 0.250)
Ni (0.500, 0.500, 0.750)


[3]
Compound: Ni5W8
Source: OQMD via LeMat-Bulk
Functional: PBE
Structure: optimized geometry

Computed properties:
* energy: -9.71 eV per atom
* SG: R-3m (166)
* spin magnetization: 0.07 Bohr magnetons per cell

Lattice parameters (Å, degrees): 9.171 9.171 9.171 32.42 32.42 32.42
Atoms (fractional coordinates):
Ni (0.451, 0.451, 0.451)
Ni (0.000, 0.000, 0.000)
Ni (0.354, 0.354, 0.354)
Ni (0.549, 0.549, 0.549)
Ni (0.646, 0.646, 0.646)
W (0.414, 0.907, 0.907)
W (0.907, 0.414, 0.907)
W (0.093, 0.093, 0.586)
W (0.586, 0.093, 0.093)
W (0.834, 0.834, 0.834)
W (0.907, 0.907, 0.414)
W (0.166, 0.166, 0.166)
W (0.093, 0.586, 0.093)


[4]
Compound: Er7C2I12N
Source: OQMD via LeMat-Bulk
Functional: PBE
Structure: optimized geometry

Computed properties:
* energy: -4.81 eV per atom
* SG: P-1 (2)
* spin magnetization: 0.01 Bohr magnetons per cell

Lattice parameters (Å, degrees): 9.850 10.606 16.847 101.65 93.00 112.88
Atoms (fractional coordinates):
I (0.440, 0.255, 0.802)
I (0.827, 0.155, 0.165)
I (0.660, 0.022, 0.909)
I (0.340, 0.978, 0.091)
I (0.874, 0.801, 0.017)
I (0.701, 0.815, 0.470)
I (0.299, 0.185, 0.530)
I (0.273, 0.704, 0.390)
I (0.968, 0.679, 0.576)
I (0.543, 0.149, 0.350)
I (0.903, 0.431, 0.874)
I (0.097, 0.569, 0.126)
I (0.126, 0.199, 0.983)
I (0.051, 0.949, 0.268)
I (0.212, 0.470, 0.687)
I (0.032, 0.321, 0.424)
I (0.560, 0.745, 0.198)
I (0.727, 0.296, 0.610)
I (0.605, 0.400, 0.051)
I (0.457, 0.851, 0.650)
I (0.949, 0.051, 0.732)
I (0.788, 0.530, 0.313)
I (0.395, 0.600, 0.949)
I (0.173, 0.845, 0.835)
Er (0.662, 0.545, 0.884)
Er (0.453, 0.744, 0.809)
Er (0.360, 0.546, 0.519)
Er (0.716, 0.754, 0.650)
Er (0.934, 0.570, 0.736)
Er (0.640, 0.454, 0.481)
Er (0.338, 0.455, 0.116)
Er (0.547, 0.256, 0.191)
Er (0.284, 0.246, 0.350)
Er (0.135, 0.122, 0.146)
Er (0.520, 0.435, 0.679)
Er (0.480, 0.565, 0.321)
Er (0.865, 0.878, 0.854)
Er (0.066, 0.430, 0.264)
C (0.635, 0.678, 0.783)
C (0.754, 0.637, 0.765)
C (0.246, 0.363, 0.235)
C (0.365, 0.322, 0.217)
N (0.441, 0.452, 0.416)
N (0.559, 0.548, 0.584)